(1)
A plane-wave DFT calculation with PBE was carried out for a relaxed structure of TbNdGa5Pt2.

Values from the calculation:
ΔE_f = -393 meV/atom
M_tot = 0.00 μB per cell

```
data_TbNdGa5Pt2
_symmetry_space_group_name_H-M 'P 4/m m m'
_symmetry_Int_Tables_number 123
_symmetry_space_group_name_Hall '-P 4 2'
_cell_length_a 4.770
_cell_length_b 4.770
_cell_length_c 9.141
_cell_angle_alpha 90.00
_cell_angle_beta 90.00
_cell_angle_gamma 90.00
loop_
_atom_site_label
_atom_site_type_symbol
_atom_site_fract_x
_atom_site_fract_y
_atom_site_fract_z
Tb1 Tb 0.000 0.000 0.000
Nd1 Nd 0.000 0.000 0.500
Ga1 Ga 0.000 0.500 0.204
Ga2 Ga 0.500 0.500 0.500
Pt1 Pt 0.500 0.500 0.245
```

=====

(2)
A plane-wave DFT calculation with PBE was carried out for a relaxed structure of Tb2NdGa2Pt7.

Values from the calculation:
ΔE_f = -933 meV/atom
M_tot = 0.00 μB per cell

```
data_Tb2NdGa2Pt7
_symmetry_space_group_name_H-M 'C 1 2/m 1'
_symmetry_Int_Tables_number 12
_symmetry_space_group_name_Hall '-C 2y'
_cell_length_a 5.815
_cell_length_b 5.744
_cell_length_c 14.220
_cell_angle_alpha 90.00
_cell_angle_beta 99.60
_cell_angle_gamma 90.00
loop_
_atom_site_label
_atom_site_type_symbol
_atom_site_fract_x
_atom_site_fract_y
_atom_site_fract_z
Tb1 Tb 0.129 0.000 0.359
Nd1 Nd 0.000 0.000 0.000
Ga1 Ga 0.106 0.500 0.262
Pt1 Pt 0.000 0.500 0.000
Pt2 Pt 0.145 0.500 0.435
Pt3 Pt 0.185 0.250 0.840
```

=====

(3)
A plane-wave DFT calculation with PBE was carried out for a relaxed structure of Nd2ThGa3Pt4.

Values from the calculation:
ΔE_f = -932 meV/atom
M_tot = 0.00 μB per cell

```
data_Nd2ThGa3Pt4
_symmetry_space_group_name_H-M 'P -4 m 2'
_symmetry_Int_Tables_number 115
_symmetry_space_group_name_Hall 'P -4 -2'
_cell_length_a 4.420
_cell_length_b 4.420
_cell_length_c 11.093
_cell_angle_alpha 90.00
_cell_angle_beta 90.00
_cell_angle_gamma 90.00
loop_
_atom_site_label
_atom_site_type_symbol
_atom_site_fract_x
_atom_site_fract_y
_atom_site_fract_z
Nd1 Nd 0.000 0.500 0.218
Th1 Th 0.000 0.000 0.500
Ga1 Ga 0.000 0.500 0.882
Ga2 Ga 0.500 0.500 0.500
Pt1 Pt 0.000 0.000 0.000
Pt2 Pt 0.000 0.500 0.658
Pt3 Pt 0.500 0.500 0.000
```

=====

(4)
A plane-wave DFT calculation with PBE was carried out for a relaxed structure of NdThGa2Pt5.

Values from the calculation:
ΔE_f = -902 meV/atom
M_tot = 0.00 μB per cell

```
data_NdThGa2Pt5
_symmetry_space_group_name_H-M 'P 4/m m m'
_symmetry_Int_Tables_number 123
_symmetry_space_group_name_Hall '-P 4 2'
_cell_length_a 4.384
_cell_length_b 4.384
_cell_length_c 8.966
_cell_angle_alpha 90.00
_cell_angle_beta 90.00
_cell_angle_gamma 90.00
loop_
_atom_site_label
_atom_site_type_symbol
_atom_site_fract_x
_atom_site_fract_y
_atom_site_fract_z
Nd1 Nd 0.000 0.000 0.000
Th1 Th 0.000 0.000 0.500
Ga1 Ga 0.500 0.500 0.362
Pt1 Pt 0.000 0.500 0.231
Pt2 Pt 0.500 0.500 0.000
```

=====

(5)
A plane-wave DFT calculation with PBE was carried out for a relaxed structure of Nd2TiGa3Pt4.

Values from the calculation:
ΔE_f = -956 meV/atom
M_tot = 0.00 μB per cell

```
data_Nd2TiGa3Pt4
_symmetry_space_group_name_H-M 'P -4 m 2'
_symmetry_Int_Tables_number 115
_symmetry_space_group_name_Hall 'P -4 -2'
_cell_length_a 4.175
_cell_length_b 4.175
_cell_length_c 11.117
_cell_angle_alpha 90.00
_cell_angle_beta 90.00
_cell_angle_gamma 90.00
loop_
_atom_site_label
_atom_site_type_symbol
_atom_site_fract_x
_atom_site_fract_y
_atom_site_fract_z
Nd1 Nd 0.000 0.500 0.245
Ti1 Ti 0.000 0.000 0.500
Ga1 Ga 0.000 0.500 0.867
Ga2 Ga 0.500 0.500 0.500
Pt1 Pt 0.000 0.000 0.000
Pt2 Pt 0.000 0.500 0.641
Pt3 Pt 0.500 0.500 0.000
```

=====

(6)
A plane-wave DFT calculation with PBE was carried out for a relaxed structure of Nd2TiGa4Pt3.

Values from the calculation:
ΔE_f = -865 meV/atom
M_tot = 0.00 μB per cell

```
data_Nd2TiGa4Pt3
_symmetry_space_group_name_H-M 'P -4 m 2'
_symmetry_Int_Tables_number 115
_symmetry_space_group_name_Hall 'P -4 -2'
_cell_length_a 4.192
_cell_length_b 4.192
_cell_length_c 11.158
_cell_angle_alpha 90.00
_cell_angle_beta 90.00
_cell_angle_gamma 90.00
loop_
_atom_site_label
_atom_site_type_symbol
_atom_site_fract_x
_atom_site_fract_y
_atom_site_fract_z
Nd1 Nd 0.000 0.500 0.249
Ti1 Ti 0.000 0.000 0.500
Ga1 Ga 0.000 0.000 0.000
Ga2 Ga 0.000 0.500 0.643
Ga3 Ga 0.500 0.500 0.000
Pt1 Pt 0.000 0.500 0.868
Pt2 Pt 0.500 0.500 0.500
```

=====

(7)
A plane-wave DFT calculation with PBE was carried out for a relaxed structure of NdTiGaPt2.

Values from the calculation:
ΔE_f = -958 meV/atom
M_tot = 0.00 μB per cell

```
data_NdTiGaPt2
_symmetry_space_group_name_H-M 'I -4 m 2'
_symmetry_Int_Tables_number 119
_symmetry_space_group_name_Hall 'I -4 -2'
_cell_length_a 4.094
_cell_length_b 4.094
_cell_length_c 11.828
_cell_angle_alpha 90.00
_cell_angle_beta 90.00
_cell_angle_gamma 90.00
loop_
_atom_site_label
_atom_site_type_symbol
_atom_site_fract_x
_atom_site_fract_y
_atom_site_fract_z
Nd1 Nd 0.000 0.000 0.000
Ti1 Ti 0.000 0.500 0.750
Ga1 Ga 0.000 0.500 0.250
Pt1 Pt 0.000 0.000 0.387
```

=====

(8)
A plane-wave DFT calculation with PBE was carried out for a relaxed structure of NdTmGa2Pt5.

Values from the calculation:
ΔE_f = -885 meV/atom
M_tot = 0.00 μB per cell

```
data_NdTmGa2Pt5
_symmetry_space_group_name_H-M 'P 4/m m m'
_symmetry_Int_Tables_number 123
_symmetry_space_group_name_Hall '-P 4 2'
_cell_length_a 4.214
_cell_length_b 4.214
_cell_length_c 9.360
_cell_angle_alpha 90.00
_cell_angle_beta 90.00
_cell_angle_gamma 90.00
loop_
_atom_site_label
_atom_site_type_symbol
_atom_site_fract_x
_atom_site_fract_y
_atom_site_fract_z
Nd1 Nd 0.000 0.000 0.000
Tm1 Tm 0.000 0.000 0.500
Ga1 Ga 0.500 0.500 0.371
Pt1 Pt 0.000 0.500 0.231
Pt2 Pt 0.500 0.500 0.000
```

=====

(9)
A plane-wave DFT calculation with PBE was carried out for a relaxed structure of NdTmGa5Pt2.

Values from the calculation:
ΔE_f = -374 meV/atom
M_tot = 0.00 μB per cell

```
data_NdTmGa5Pt2
_symmetry_space_group_name_H-M 'P 4/m m m'
_symmetry_Int_Tables_number 123
_symmetry_space_group_name_Hall '-P 4 2'
_cell_length_a 4.679
_cell_length_b 4.679
_cell_length_c 9.567
_cell_angle_alpha 90.00
_cell_angle_beta 90.00
_cell_angle_gamma 90.00
loop_
_atom_site_label
_atom_site_type_symbol
_atom_site_fract_x
_atom_site_fract_y
_atom_site_fract_z
Nd1 Nd 0.000 0.000 0.000
Tm1 Tm 0.000 0.000 0.500
Ga1 Ga 0.000 0.500 0.312
Ga2 Ga 0.500 0.500 0.000
Pt1 Pt 0.500 0.500 0.241
```

=====

(10)
A plane-wave DFT calculation with PBE was carried out for a relaxed structure of NdTmGa2Pt2.

Values from the calculation:
ΔE_f = -1059 meV/atom
M_tot = 0.00 μB per cell

```
data_NdTmGa2Pt2
_symmetry_space_group_name_H-M 'P -3 m 1'
_symmetry_Int_Tables_number 164
_symmetry_space_group_name_Hall '-P 3 2"'
_cell_length_a 4.4762
_cell_length_b 4.4762
_cell_length_c 7.1022
_cell_angle_alpha 90.00
_cell_angle_beta 90.00
_cell_angle_gamma 120.00
loop_
_atom_site_label
_atom_site_type_symbol
_atom_site_fract_x
_atom_site_fract_y
_atom_site_fract_z
Nd1 Nd 0.0000 0.0000 0.0000
Tm1 Tm 0.0000 0.0000 0.5000
Ga1 Ga 0.3333 0.6667 0.2759
Pt1 Pt 0.3333 0.6667 0.7226
```

=====

(11)
A plane-wave DFT calculation with PBE was carried out for a relaxed structure of NdYGa2Pt5.

Values from the calculation:
ΔE_f = -902 meV/atom
M_tot = 0.00 μB per cell

```
data_NdYGa2Pt5
_symmetry_space_group_name_H-M 'P 4/m m m'
_symmetry_Int_Tables_number 123
_symmetry_space_group_name_Hall '-P 4 2'
_cell_length_a 4.224
_cell_length_b 4.224
_cell_length_c 9.387
_cell_angle_alpha 90.00
_cell_angle_beta 90.00
_cell_angle_gamma 90.00
loop_
_atom_site_label
_atom_site_type_symbol
_atom_site_fract_x
_atom_site_fract_y
_atom_site_fract_z
Nd1 Nd 0.000 0.000 0.000
Y1 Y 0.000 0.000 0.500
Ga1 Ga 0.500 0.500 0.370
Pt1 Pt 0.000 0.500 0.230
Pt2 Pt 0.500 0.500 0.000
```

=====

(12)
A plane-wave DFT calculation with PBE was carried out for a relaxed structure of Nd2ZnGa2Pt5.

Values from the calculation:
ΔE_f = -763 meV/atom
M_tot = 0.00 μB per cell

```
data_Nd2ZnGa2Pt5
_symmetry_space_group_name_H-M 'P 4/m b m'
_symmetry_Int_Tables_number 127
_symmetry_space_group_name_Hall '-P 4 2ab'
_cell_length_a 10.138
_cell_length_b 10.138
_cell_length_c 3.609
_cell_angle_alpha 90.00
_cell_angle_beta 90.00
_cell_angle_gamma 90.00
loop_
_atom_site_label
_atom_site_type_symbol
_atom_site_fract_x
_atom_site_fract_y
_atom_site_fract_z
Nd1 Nd 0.177 0.323 0.000
Zn1 Zn 0.000 0.000 0.000
Ga1 Ga 0.125 0.625 0.000
Pt1 Pt 0.000 0.500 0.500
Pt2 Pt 0.053 0.800 0.500
```

=====

D(E_F) values, unit states/eV/f.u., following the record order: 4.74 3.41 4.93 5.68 6.45 5.60 4.70 4.17 4.77 3.36 4.28 6.46.